(1)
Computed, not measured: a relaxed CaCBr2 crystal at the PBE level of DFT.

Energy relative to the elements, uncorrected = 0.463 eV/atom
Distance to the lowest polymorph of the same formula = 0.163 eV/atom
Fermi-level density of states = 2.36 states/eV per cell
Volume = 468.7 Å³/cell

Lattice parameters (Å, degrees): 5.189 5.189 17.403 90.00 90.00 90.00
Space group I-42d (No. 122)
Unique sites:
Ca 0.000 0.000 0.000
C 0.000 0.000 0.500
Br 0.242 0.250 0.625


(2)
Computed, not measured: a relaxed CaCBr2 crystal at the PBE level of DFT.

Energy relative to the elements, uncorrected = 1.012 eV/atom
Distance to the lowest polymorph of the same formula = 0.712 eV/atom
Fermi-level density of states = 10.59 states/eV per cell
Volume = 347.5 Å³/cell

Lattice parameters (Å, degrees): 4.0401 4.0401 24.5857 90.00 90.00 120.00
Space group R-3m (No. 166, hexagonal axes)
Unique sites:
Ca 0.0000 0.0000 0.0000
C 0.0000 0.0000 0.5000
Br 0.0000 0.0000 0.1136


(3)
Computed, not measured: a relaxed CaCrC2Br crystal at the PBE level of DFT.

Energy relative to the elements, uncorrected = 0.524 eV/atom
Fermi-level density of states = 3.83 states/eV per cell
Volume = 78.5 Å³/cell

Lattice parameters (Å, degrees): 3.896 3.896 5.175 90.00 90.00 90.00
Space group P4/mmm (No. 123)
Unique sites:
Ca 0.000 0.000 0.000
Cr 0.500 0.500 0.500
C 0.000 0.500 0.500
Br 0.500 0.500 0.000


(4)
Computed, not measured: a relaxed Cs2CaCBr6 crystal at the PBE level of DFT.

Energy relative to the elements, uncorrected = -0.838 eV/atom
Fermi-level density of states = 0.00 states/eV per cell
Volume = 1295.7 Å³/cell

Lattice parameters (Å, degrees): 10.902 10.902 10.902 90.00 90.00 90.00
Space group Fm-3m (No. 225)
Unique sites:
Cs 0.250 0.250 0.250
Ca 0.000 0.000 0.000
C 0.000 0.000 0.500
Br 0.000 0.000 0.267


(5)
Computed, not measured: a relaxed CaPH6CBr3 crystal at the PBE level of DFT.

Distance to the lowest polymorph of the same formula = 0.000 eV/atom
Fermi-level density of states = 0.00 states/eV per cell
Volume = 973.2 Å³/cell

Lattice parameters (Å, degrees): 7.386 8.665 15.436 85.11 85.63 82.25
Space group P1 (No. 1)
Unique sites:
Ca 0.000 0.000 0.000
Ca 0.168 0.489 0.494
Ca 0.500 0.001 0.000
Ca 0.667 0.494 0.495
P 0.298 0.961 0.294
P 0.364 0.440 0.778
P 0.750 0.459 0.126
P 0.844 0.942 0.608
H 0.030 0.493 0.183
H 0.122 0.946 0.333
H 0.176 0.541 0.898
H 0.236 0.491 0.715
H 0.276 0.062 0.217
H 0.325 0.677 0.851
H 0.353 0.280 0.801
H 0.371 0.810 0.270
H 0.386 0.152 0.380
H 0.414 0.510 0.920
H 0.433 0.956 0.430
H 0.540 0.456 0.739
H 0.568 0.533 0.130
H 0.579 0.022 0.339
H 0.687 0.872 0.596
H 0.710 0.115 0.714
H 0.744 0.297 0.147
H 0.812 0.932 0.764
H 0.814 0.477 0.038
H 0.841 0.514 0.263
H 0.866 0.057 0.538
H 0.871 0.670 0.181
H 0.954 0.075 0.719
H 0.997 0.826 0.602
C 0.315 0.554 0.871
C 0.438 0.030 0.368
C 0.829 0.024 0.711
C 0.887 0.542 0.195
Br 0.200 0.225 0.071
Br 0.273 0.009 0.854
Br 0.274 0.773 0.084
Br 0.369 0.717 0.566
Br 0.441 0.503 0.348
Br 0.445 0.264 0.579
Br 0.722 0.236 0.924
Br 0.725 0.997 0.150
Br 0.796 0.774 0.937
Br 0.894 0.733 0.423
Br 0.896 0.486 0.643
Br 0.961 0.272 0.423


(6)
Computed, not measured: a relaxed CaPH6CBr3 crystal at the PBE level of DFT.

Distance to the lowest polymorph of the same formula = 0.011 eV/atom
Fermi-level density of states = 0.00 states/eV per cell
Volume = 971.4 Å³/cell

Lattice parameters (Å, degrees): 11.431 4.488 18.935 90.00 90.04 90.00
Space group Pm (No. 6)
Unique sites:
Ca 0.000 0.000 0.000
Ca 0.153 0.500 0.503
Ca 0.456 0.000 0.415
Ca 0.695 0.500 0.909
P 0.334 0.500 0.188
P 0.337 0.000 0.830
P 0.804 0.000 0.687
P 0.817 0.500 0.318
H 0.174 0.199 0.764
H 0.212 0.500 0.200
H 0.274 0.000 0.709
H 0.284 0.000 0.897
H 0.327 0.302 0.071
H 0.387 0.253 0.221
H 0.412 0.248 0.823
H 0.462 0.500 0.087
H 0.701 0.500 0.345
H 0.705 0.000 0.731
H 0.711 0.199 0.583
H 0.782 0.302 0.204
H 0.843 0.000 0.563
H 0.876 0.249 0.701
H 0.877 0.254 0.348
H 0.919 0.500 0.207
C 0.229 0.000 0.761
C 0.366 0.500 0.095
C 0.764 0.000 0.595
C 0.827 0.500 0.224
Br 0.012 0.000 0.446
Br 0.053 0.500 0.638
Br 0.103 0.000 0.136
Br 0.138 0.500 0.940
Br 0.296 0.500 0.370
Br 0.312 0.000 0.543
Br 0.549 0.000 0.957
Br 0.573 0.000 0.281
Br 0.589 0.500 0.772
Br 0.595 0.500 0.467
Br 0.837 0.500 0.037
Br 0.856 0.000 0.867


(7)
Computed, not measured: a relaxed CaH5CSBr3 crystal at the PBE level of DFT.

Fermi-level density of states = 0.00 states/eV per cell
Final energy = -4.0907 eV per atom
Volume = 430.3 Å³/cell

Lattice parameters (Å, degrees): 4.365 9.041 11.209 89.40 89.22 76.61
Space group P1 (No. 1)
Unique sites:
Ca 0.000 0.000 0.000
Ca 0.047 0.935 0.494
H 0.006 0.576 0.779
H 0.141 0.287 0.675
H 0.275 0.425 0.859
H 0.413 0.577 0.783
H 0.481 0.664 0.184
H 0.577 0.453 0.101
H 0.583 0.290 0.677
H 0.585 0.411 0.324
H 0.847 0.530 0.362
H 0.997 0.350 0.288
C 0.245 0.503 0.782
C 0.797 0.448 0.297
S 0.309 0.397 0.644
S 0.746 0.546 0.154
Br 0.087 0.841 0.236
Br 0.400 0.218 0.052
Br 0.449 0.141 0.435
Br 0.594 0.802 0.934
Br 0.645 0.729 0.556
Br 0.955 0.096 0.737


(8)
Computed, not measured: a relaxed CaHfC2Br crystal at the PBE level of DFT.

Energy relative to the elements, uncorrected = 2.460 eV/atom
Fermi-level density of states = 3.68 states/eV per cell
Volume = 101.9 Å³/cell

Lattice parameters (Å, degrees): 4.582 4.582 4.854 90.00 90.00 90.00
Space group P4/mmm (No. 123)
Unique sites:
Ca 0.000 0.000 0.000
Hf 0.500 0.500 0.000
C 0.000 0.500 0.500
Br 0.000 0.000 0.500


(9)
Computed, not measured: a relaxed CaMn2CBr crystal at the PBE level of DFT.

Energy relative to the elements, uncorrected = 1.626 eV/atom
Fermi-level density of states = 4.67 states/eV per cell
Volume = 113.7 Å³/cell

Lattice parameters (Å, degrees): 4.540 4.540 5.517 90.00 90.00 90.00
Space group P4/mmm (No. 123)
Unique sites:
Ca 0.000 0.000 0.000
Mn 0.000 0.500 0.500
C 0.500 0.500 0.000
Br 0.000 0.000 0.500


(10)
Computed, not measured: a relaxed NaCaC2Br crystal at the PBE level of DFT.

Energy relative to the elements, uncorrected = 1.668 eV/atom
Fermi-level density of states = 2.24 states/eV per cell
Volume = 110.6 Å³/cell

Lattice parameters (Å, degrees): 4.594 4.594 5.243 90.00 90.00 90.00
Space group P4/mmm (No. 123)
Unique sites:
Na 0.000 0.000 0.000
Ca 0.500 0.500 0.500
C 0.000 0.500 0.000
Br 0.000 0.000 0.500


(11)
Computed, not measured: a relaxed Ca2NiCBr crystal at the PBE level of DFT.

Energy relative to the elements, uncorrected = -0.600 eV/atom
Fermi-level density of states = 1.41 states/eV per cell
Volume = 99.2 Å³/cell

Lattice parameters (Å, degrees): 5.210 5.210 3.656 90.00 90.00 90.00
Space group P4/mmm (No. 123)
Unique sites:
Ca 0.000 0.500 0.000
Ni 0.000 0.000 0.500
C 0.000 0.000 0.000
Br 0.500 0.500 0.500


(12)
Computed, not measured: a relaxed Rb2CaCBr6 crystal at the PBE level of DFT.

Energy relative to the elements, uncorrected = -0.806 eV/atom
Fermi-level density of states = 0.00 states/eV per cell
Volume = 1256.5 Å³/cell

Lattice parameters (Å, degrees): 10.791 10.791 10.791 90.00 90.00 90.00
Space group Fm-3m (No. 225)
Unique sites:
Rb 0.250 0.250 0.250
Ca 0.000 0.000 0.000
C 0.000 0.000 0.500
Br 0.000 0.000 0.267


(13)
Computed, not measured: a relaxed Ca2ScCBr crystal at the PBE level of DFT.

Energy relative to the elements, uncorrected = -0.319 eV/atom
Fermi-level density of states = 2.62 states/eV per cell
Volume = 123.2 Å³/cell

Lattice parameters (Å, degrees): 5.265 5.265 4.444 90.00 90.00 90.00
Space group P4/mmm (No. 123)
Unique sites:
Ca 0.000 0.500 0.000
Sc 0.000 0.000 0.500
C 0.000 0.000 0.000
Br 0.500 0.500 0.500


(14)
Computed, not measured: a relaxed CaCSe2Br crystal at the PBE level of DFT.

Energy relative to the elements, uncorrected = 0.154 eV/atom
Distance to the lowest polymorph of the same formula = 0.000 eV/atom
Fermi-level density of states = 3.19 states/eV per cell
Volume = 104.2 Å³/cell

Lattice parameters (Å, degrees): 4.446 4.446 5.271 90.00 90.00 90.00
Space group P4/mmm (No. 123)
Unique sites:
Ca 0.000 0.000 0.000
C 0.500 0.500 0.500
Se 0.000 0.500 0.500
Br 0.500 0.500 0.000


(15)
Computed, not measured: a relaxed CaCSe2Br crystal at the PBE level of DFT.

Energy relative to the elements, uncorrected = 1.314 eV/atom
Distance to the lowest polymorph of the same formula = 1.161 eV/atom
Fermi-level density of states = 10.46 states/eV per cell
Volume = 167.5 Å³/cell

Lattice parameters (Å, degrees): 5.574 5.574 5.390 90.00 90.00 90.00
Space group P4/mmm (No. 123)
Unique sites:
Ca 0.000 0.000 0.000
C 0.500 0.500 0.500
Se 0.000 0.500 0.000
Br 0.000 0.000 0.500


(16)
Computed, not measured: a relaxed CaW2CBr crystal at the PBE level of DFT.

Energy relative to the elements, uncorrected = 2.755 eV/atom
Fermi-level density of states = 5.49 states/eV per cell
Volume = 114.0 Å³/cell

Lattice parameters (Å, degrees): 4.577 4.577 5.440 90.00 90.00 90.00
Space group P4/mmm (No. 123)
Unique sites:
Ca 0.000 0.000 0.000
W 0.000 0.500 0.500
C 0.500 0.500 0.000
Br 0.000 0.000 0.500


(17)
Computed, not measured: a relaxed CaZn2CBr crystal at the PBE level of DFT.

Energy relative to the elements, uncorrected = 1.392 eV/atom
Fermi-level density of states = 1.43 states/eV per cell
Volume = 198.7 Å³/cell

Lattice parameters (Å, degrees): 6.052 6.052 5.425 90.00 90.00 90.00
Space group P4/mmm (No. 123)
Unique sites:
Ca 0.000 0.000 0.000
Zn 0.000 0.500 0.500
C 0.500 0.500 0.000
Br 0.000 0.000 0.500


(18)
Computed, not measured: a relaxed CdCBr2 crystal at the PBE level of DFT.

Energy relative to the elements, uncorrected = 1.186 eV/atom
Distance to the lowest polymorph of the same formula = 0.170 eV/atom
Fermi-level density of states = 2.68 states/eV per cell
Volume = 304.4 Å³/cell

Lattice parameters (Å, degrees): 3.4704 3.4704 29.1832 90.00 90.00 120.00
Space group R-3m (No. 166, hexagonal axes)
Unique sites:
Cd 0.0000 0.0000 0.0000
C 0.0000 0.0000 0.5000
Br 0.0000 0.0000 0.1181


(19)
Computed, not measured: a relaxed CdC2Br crystal at the PBE level of DFT.

Energy relative to the elements, uncorrected = 2.828 eV/atom
Distance to the lowest polymorph of the same formula = 0.488 eV/atom
Fermi-level density of states = 10.73 states/eV per cell
Volume = 237.5 Å³/cell

Lattice parameters (Å, degrees): 6.193 6.193 6.193 90.00 90.00 90.00
Space group Fm-3m (No. 225)
Unique sites:
Cd 0.000 0.000 0.000
C 0.250 0.250 0.250
Br 0.000 0.000 0.500


(20)
Computed, not measured: a relaxed CdC2Br crystal at the PBE level of DFT.

Energy relative to the elements, uncorrected = 2.340 eV/atom
Distance to the lowest polymorph of the same formula = 0.000 eV/atom
Fermi-level density of states = 3.28 states/eV per cell
Volume = 281.8 Å³/cell

Lattice parameters (Å, degrees): 5.129 5.129 10.710 90.00 90.00 90.00
Space group I-42d (No. 122)
Unique sites:
Cd 0.000 0.000 0.000
C 0.238 0.250 0.625
Br 0.000 0.000 0.500